(1)
Ac4Pb2N | the Alexandria database | PBE-GGA | relaxed; E_form (uncorrected) = -0.7045 eV per atom; symmetry = P2_1/m, No. 11; polymorph energy (0 for the lowest one) = 0.000 eV/atom; total magnetic moment = 0.64 μB/f.u.
1.0
-5.0073 4.1409 -3.3366
0.9298 -3.9431 -6.2889
-4.3510 -7.9382 4.3338
Pb N Ac
4 2 8
Direct
0.1993 0.2500 0.4170
0.6959 0.7500 0.0382
0.8007 0.7500 0.5830
0.3041 0.2500 0.9618
0.7156 0.2500 0.7956
0.2844 0.7500 0.2044
0.4913 0.4976 0.7276
0.5087 0.5024 0.2724
0.1197 0.7500 0.9447
0.4913 0.0024 0.7276
0.5087 0.9976 0.2724
0.9261 0.2500 0.6501
0.0739 0.7500 0.3499
0.8803 0.2500 0.0553

---

(2)
Ac3PbN2 | the Alexandria database | PBE-GGA | relaxed; E_form (uncorrected) = -0.8921 eV per atom; symmetry = Cmcm, No. 63; total magnetic moment = 0.00 μB/f.u.
1.0
-3.6772 -4.2067 -2.8184
6.3573 -3.2833 -3.3939
-0.3852 -4.1675 6.7229
N Ac Pb
4 6 2
Direct
0.5000 0.8423 0.8423
0.0000 0.8423 0.8423
0.0000 0.1577 0.1577
0.5000 0.1577 0.1577
0.2500 0.1811 0.3825
0.7500 0.3825 0.1811
0.7500 0.9029 0.0971
0.2500 0.0971 0.9029
0.7500 0.8189 0.6175
0.2500 0.6175 0.8189
0.2500 0.6733 0.3267
0.7500 0.3267 0.6733

---

(3)
Ac12Pb6N | the Alexandria database | PBE-GGA | relaxed; E_form (uncorrected) = -0.3396 eV per atom; symmetry = R-3, No. 148; total magnetic moment = 0.04 μB/f.u.
1.0
9.3415 -0.0275 -0.0330
-1.4434 9.2293 -0.0330
-1.4434 -1.6817 9.0749
Ac Pb N
12 6 1
Direct
0.4268 0.5530 0.1891
0.0634 0.9948 0.2992
0.9948 0.2992 0.0634
0.2992 0.0634 0.9948
0.1891 0.4268 0.5530
0.9366 0.0052 0.7008
0.7008 0.9366 0.0052
0.4470 0.8109 0.5732
0.5530 0.1891 0.4268
0.8109 0.5732 0.4470
0.0052 0.7008 0.9366
0.5732 0.4470 0.8109
0.3529 0.7032 0.8790
0.2968 0.1210 0.6471
0.7032 0.8790 0.3529
0.8790 0.3529 0.7032
0.1210 0.6471 0.2968
0.6471 0.2968 0.1210
0.0000 0.0000 0.0000

---

(4)
Ac6Pb2N | the Alexandria database | PBE-GGA | relaxed; E_form (uncorrected) = -0.4704 eV per atom; symmetry = P2_1/c, No. 14; total magnetic moment = 0.00 μB/f.u.
1.0
-4.4511 -5.0779 2.3263
6.8518 -4.5963 3.0772
-0.5806 5.3226 9.2430
Ac Pb N
12 4 2
Direct
0.1186 0.0332 0.7436
0.8371 0.6592 0.9546
0.8688 0.7257 0.5495
0.3688 0.7743 0.0495
0.1629 0.3408 0.0454
0.3814 0.5332 0.7564
0.6186 0.4668 0.2436
0.6312 0.2257 0.9505
0.1312 0.2743 0.4505
0.8814 0.9668 0.2564
0.6629 0.1592 0.5454
0.3371 0.8408 0.4546
0.9209 0.3933 0.7366
0.5791 0.8933 0.7634
0.4209 0.1067 0.2366
0.0791 0.6067 0.2634
0.5000 0.5000 0.0000
0.0000 0.0000 0.5000

---

Which value of E_form (uncorrected) does entry 2 give? -0.8921 eV per atom

---

E_form (uncorrected) of number 1 (Ac4Pb2N)? -0.7045 eV per atom

---

The highest E_form (uncorrected) belongs to which entry? Ac12Pb6N

---

Look up the total magnetic moment of the third one. 0.04 μB/f.u.